[1]
{"formula": "AlSe2Br", "functional": "GGA-PBE", "state": "relaxed", "dft_energy_ev_per_atom": -2.750, "density_g_cm3": 5.17, "relative_energy_mev_per_atom": 921, "formation_energy_uncorrected_ev_per_fu": 1.39, "magnetic_moment_mub_per_atom": 0.000, "lattice_angstrom": [[0.000, 3.489, 3.489], [3.489, 0.000, 3.489], [3.489, 3.489, 0.000]], "species": ["Al", "Se", "Se", "Br"], "fractional_positions": [[0.000, 0.000, 0.000], [0.250, 0.250, 0.250], [0.500, 0.500, 0.500], [0.750, 0.750, 0.750]]}

***

[2]
{"formula": "BaGa2SiAg", "functional": "GGA-PBE", "state": "relaxed", "dft_energy_ev_per_atom": -3.578, "density_g_cm3": 6.07, "formation_energy_uncorrected_ev_per_fu": -1.64, "magnetic_moment_mub_per_atom": 0.000, "lattice_angstrom": [[-2.257, 2.299, 5.440], [2.257, -2.299, 5.440], [2.257, 2.299, -5.440]], "species": ["Ba", "Ga", "Ga", "Si", "Ag"], "fractional_positions": [[0.000, 0.000, 0.000], [0.384, 0.384, 0.000], [0.752, 0.252, 0.500], [0.620, 0.620, 0.000], [0.245, 0.745, 0.500]]}

***

[3]
{"formula": "FePOs", "functional": "GGA-PBE", "state": "relaxed", "dft_energy_ev_per_atom": -8.371, "density_g_cm3": 12.71, "formation_energy_kj_per_mol_atoms": -0.34, "magnetic_moment_mub_per_atom": 0.395, "lattice_angstrom": [[-1.417, 1.417, 4.507], [1.417, -1.417, 4.507], [1.417, 1.417, -4.507]], "species": ["Fe", "P", "Os"], "fractional_positions": [[0.000, 0.000, 0.000], [0.637, 0.637, 0.000], [0.296, 0.296, 0.000]]}

***

[4]
{"formula": "AlSeN3", "functional": "GGA-PBE", "state": "relaxed", "dft_energy_ev_per_atom": -5.098, "density_g_cm3": 4.57, "formation_energy_uncorrected_ev_per_fu": 6.71, "magnetic_moment_mub_per_atom": 0.000, "lattice_angstrom": [[3.774, 0.000, 0.000], [0.000, 3.774, 0.000], [0.000, 0.000, 3.774]], "species": ["Al", "Se", "N", "N", "N"], "fractional_positions": [[0.000, 0.000, 0.000], [0.500, 0.500, 0.500], [0.000, 0.000, 0.500], [0.000, 0.500, 0.000], [0.500, 0.000, 0.000]]}